# 1
This record from Alexandria via LeMat-Bulk describes a geometry-optimized LiCd2W structure. The functional is GGA-PBEsol.

energy of formation from the pure elements: 0.65 eV/atom
symmetry: Pmmm
E above lowest polymorph: 315 meV per atom

a b c (Å): 3.0056 4.7574 4.7754
angles (deg): 90.00 90.00 90.00
Positions (direct):
Cd 0.5000 0.0000 0.5000
Cd 0.0000 0.0000 0.0000
Li 0.5000 0.5000 0.0000
W 0.0000 0.5000 0.5000

=====

# 2
This record from Alexandria via LeMat-Bulk describes a geometry-optimized Li2CdW structure. The functional is GGA-PBEsol.

energy of formation from the pure elements: 0.46 eV/atom
symmetry: Pm
E above lowest polymorph: 152 meV per atom

a b c (Å): 2.5874 4.5181 5.6697
angles (deg): 90.00 103.06 90.00
Positions (direct):
Cd 0.1836 0.5000 0.7443
Li 0.8260 0.0000 0.0133
Li 0.9309 0.5000 0.2443
W 0.5594 0.0000 0.4981

=====

What did the second record say?
This record from Alexandria via LeMat-Bulk describes a geometry-optimized Li2CdW structure. The functional is GGA-PBEsol.

energy of formation from the pure elements: 0.46 eV/atom
symmetry: Pm
E above lowest polymorph: 152 meV per atom

a b c (Å): 2.5874 4.5181 5.6697
angles (deg): 90.00 103.06 90.00
Positions (direct):
Cd 0.1836 0.5000 0.7443
Li 0.8260 0.0000 0.0133
Li 0.9309 0.5000 0.2443
W 0.5594 0.0000 0.4981

=====

- energy of formation from the pure elements of number 1 (LiCd2W)?
  0.65 eV/atom

=====

- Number 1 is which compound?
  LiCd2W